{"formula": "K3NaTl3Br8", "functional": "PBE", "state": "relaxed", "lattice": [[-6.568, -3.499, 5.788], [0.350, -2.809, -8.979], [6.552, -2.470, 5.942]], "species": ["K", "K", "K", "Br", "Br", "Br", "Br", "Br", "Br", "Br", "Br", "Na", "Tl", "Tl", "Tl"], "frac_coords": [[0.000, 0.500, 0.500], [0.500, 0.000, 0.500], [0.500, 0.500, 0.500], [0.771, 0.995, 0.264], [0.229, 0.005, 0.736], [0.776, 0.005, 0.736], [0.750, 0.500, 0.748], [0.230, 0.460, 0.735], [0.224, 0.995, 0.264], [0.250, 0.500, 0.252], [0.770, 0.540, 0.265], [0.000, 0.000, 0.500], [0.500, 0.500, 0.000], [0.000, 0.500, 0.000], [0.000, 0.000, 0.000]], "raw_formation_energy_mev_per_atom": -1212, "final_energy_ev_per_atom": -2.89, "magmom_total_mub_per_fu": 0.00}